[1]
# BaGa2ReGe GGA-PBE relaxed
# Raw total energy, eV for the cell shown: -26.5
# Density, Mg/m³: 7.47
data_BaGa2ReGe
_chemical_formula_sum 'Ba1 Ga2 Re1 Ge1'
_space_group_name_H-M_alt 'P 4/m m m'
_space_group_IT_number 123
_space_group_name_Hall '-P 4 2'
_cell_length_a 4.947
_cell_length_b 4.947
_cell_length_c 4.864
_cell_angle_alpha 90.00
_cell_angle_beta 90.00
_cell_angle_gamma 90.00
loop_
_atom_site_label
_atom_site_fract_x
_atom_site_fract_y
_atom_site_fract_z
Ba1 0.000 0.000 0.000
Ga1 0.000 0.500 0.500
Re1 0.500 0.500 0.500
Ge1 0.500 0.500 0.000

[2]
# ZrPt2Rh GGA-PBE relaxed
# Raw total energy, eV for the cell shown: -30.5
# Density, Mg/m³: 14.60
data_ZrPt2Rh
_chemical_formula_sum 'Zr1 Pt2 Rh1'
_space_group_name_H-M_alt 'P m m 2'
_space_group_IT_number 25
_space_group_name_Hall 'P 2 -2'
_cell_length_a 3.013
_cell_length_b 3.868
_cell_length_c 5.704
_cell_angle_alpha 90.00
_cell_angle_beta 90.00
_cell_angle_gamma 90.00
loop_
_atom_site_label
_atom_site_fract_x
_atom_site_fract_y
_atom_site_fract_z
Zr1 0.000 0.000 0.000
Pt1 0.000 0.000 0.509
Pt2 0.500 0.500 0.261
Rh1 0.500 0.500 0.750

Q: The highest density belongs to which entry?
A: ZrPt2Rh